[1]
Below is an optimized crystal structure of Dy6Fe23, with properties calculated at the GGA-PBE level.

Total magnetic moment, Bohr magnetons per cell: 49.9
Calculated formation energy, eV per atom: -0.0446

Unit cell a=8.4256 b=8.4256 c=8.4256 alpha=120.00 beta=90.00 gamma=120.00
Each line ends with the local moment (μB).
Sites, in units of the cell vectors:
Dy (0.7077, 0.0000, 0.2923)  -0.39
Dy (0.2923, 0.0000, 0.2923)  -0.39
Dy (0.2923, 0.5847, 0.2923)  -0.39
Dy (0.7077, 0.0000, 0.7077)  -0.39
Dy (0.2923, 0.0000, 0.7077)  -0.39
Dy (0.7077, 0.4153, 0.7077)  -0.39
Fe (0.0000, 0.0000, 0.0000)  2.35
Fe (0.5000, 0.0000, 0.0000)  2.06
Fe (0.0000, 0.5000, 0.0000)  2.09
Fe (0.5000, 0.5000, 0.0000)  2.09
Fe (0.6757, 0.3513, 0.0270)  2.18
Fe (0.3640, 0.2426, 0.1213)  2.47
Fe (0.8787, 0.2426, 0.1213)  2.47
Fe (0.8787, 0.7574, 0.1213)  2.47
Fe (0.6757, 0.3513, 0.3243)  2.18
Fe (0.6757, 0.6487, 0.3243)  2.19
Fe (0.9730, 0.6487, 0.3243)  2.19
Fe (0.1213, 0.2426, 0.3640)  2.47
Fe (0.0000, 0.0000, 0.5000)  2.12
Fe (0.0000, 0.5000, 0.5000)  2.08
Fe (0.5000, 0.5000, 0.5000)  2.09
Fe (0.8787, 0.7574, 0.6360)  2.47
Fe (0.0270, 0.3513, 0.6757)  2.19
Fe (0.3243, 0.3513, 0.6757)  2.19
Fe (0.3243, 0.6487, 0.6757)  2.18
Fe (0.1213, 0.2426, 0.8787)  2.47
Fe (0.1213, 0.7574, 0.8787)  2.47
Fe (0.6360, 0.7574, 0.8787)  2.47
Fe (0.3243, 0.6487, 0.9730)  2.18

=====

[2]
Below is an optimized crystal structure of DyFe3, with properties calculated at the GGA-PBE level.

Total magnetic moment, Bohr magnetons per cell: 13.2
Calculated formation energy, eV per atom: 0.1220

Unit cell a=5.8348 b=5.8348 c=4.2853 alpha=90.00 beta=90.00 gamma=120.00
Each line ends with the local moment (μB).
Sites, in units of the cell vectors:
Dy (0.6667, 0.3333, 0.2500)  -0.25
Dy (0.3333, 0.6667, 0.7500)  -0.25
Fe (0.1371, 0.2742, 0.2500)  2.28
Fe (0.1371, 0.8629, 0.2500)  2.32
Fe (0.7258, 0.8629, 0.2500)  2.23
Fe (0.2742, 0.1371, 0.7500)  2.23
Fe (0.8629, 0.1371, 0.7500)  2.32
Fe (0.8629, 0.7258, 0.7500)  2.28

=====

[3]
Below is an optimized crystal structure of DyFe, with properties calculated at the GGA-PBE level.

Total magnetic moment, Bohr magnetons per cell: 1.6
Calculated formation energy, eV per atom: 0.4810

Unit cell a=3.4607 b=3.4606 c=4.0119 alpha=90.00 beta=90.00 gamma=120.00
Each line ends with the local moment (μB).
Sites, in units of the cell vectors:
Dy (0.6667, 0.3333, 0.7500)  -0.41
Fe (0.3333, 0.6667, 0.2500)  2.10

=====

[4]
Below is an optimized crystal structure of Dy2Fe3, with properties calculated at the GGA-PBE level.

Total magnetic moment, Bohr magnetons per cell: 12.6
Calculated formation energy, eV per atom: 0.5849

Unit cell a=6.6301 b=6.6301 c=6.6455 alpha=119.92 beta=60.08 gamma=120.00
Each line ends with the local moment (μB).
Sites, in units of the cell vectors:
Dy (0.5972, 0.4028, 0.2084)  -0.29
Dy (0.9028, 0.0972, 0.2916)  -0.29
Dy (0.0972, 0.9028, 0.7084)  -0.29
Dy (0.4028, 0.5972, 0.7916)  -0.29
Fe (0.0520, 0.5520, 0.2500)  2.35
Fe (0.4480, 0.7500, 0.2500)  2.34
Fe (0.2500, 0.9480, 0.2500)  2.29
Fe (0.7500, 0.0520, 0.7500)  2.29
Fe (0.5520, 0.2500, 0.7500)  2.34
Fe (0.9480, 0.4480, 0.7500)  2.35